Record 1
A geometry-optimized LiNd2Dy structure, computed with PBE-GGA.

It has space group P4/mmm (No. 123), with a = 3.650 Å, b = 3.650 Å, c = 9.216 Å, α = 90.00°, β = 90.00° and γ = 90.00°. The asymmetric unit holds Li at (0.000, 0.000, 0.000), Nd at (0.500, 0.500, 0.230) and Dy at (0.000, 0.000, 0.500).

For the calculated volume, the calculation gives 30.7 Å³/atom. The offset from the most stable computed form comes out at 0.0 meV per atom. As for the calculated formation energy: 64 meV per atom. The energy comes out at -15.8 eV per cell. Its crystal system is tetragonal.

Record 2
A geometry-optimized LaPr3TmTh structure, computed with PBE-GGA.

It has space group P2_1/m (No. 11), with a = 8.210 Å, b = 5.179 Å, c = 10.301 Å, α = 90.00°, β = 108.15° and γ = 90.00°. The asymmetric unit holds La at (0.183, 0.250, 0.296), Pr at (0.175, 0.250, 0.794), Pr at (0.177, 0.750, 0.045), Pr at (0.183, 0.750, 0.546), Tm at (0.498, 0.750, 0.872) and Th at (0.500, 0.250, 0.622).

For the calculated volume, the calculation gives 34.7 Å³/atom. As for the calculated formation energy: 34 meV per atom. The energy comes out at -61.9 eV per cell. Its crystal system is monoclinic.

Record 3
A geometry-optimized ReRu2Pt structure, computed with PBE-GGA.

It has space group R-3m (No. 166, hexagonal axes), with a = 2.7429 Å, b = 2.7429 Å, c = 27.0178 Å, α = 90.00°, β = 90.00° and γ = 120.00°. The asymmetric unit holds Re at (0.0000, 0.0000, 0.0000), Ru at (0.0000, 0.0000, 0.2535) and Pt at (0.0000, 0.0000, 0.5000).

For the calculated volume, the calculation gives 14.7 Å³/atom. The offset from the most stable computed form comes out at 25.5 meV per atom. As for the calculated formation energy: 5 meV per atom. The energy comes out at -111.1 eV per cell. Its crystal system is trigonal.

Record 4
A geometry-optimized Ho2VTcN5 structure, computed with PBE-GGA.

It has space group Cmc2_1 (No. 36), with a = 3.292 Å, b = 12.853 Å, c = 9.801 Å, α = 90.00°, β = 90.00° and γ = 90.00°. The asymmetric unit holds Ho at (0.000, 0.108, 0.000), Ho at (0.000, 0.146, 0.592), V at (0.000, 0.475, 0.767), Tc at (0.000, 0.224, 0.316), N at (0.000, 0.049, 0.352), N at (0.000, 0.283, 0.943), N at (0.000, 0.318, 0.678), N at (0.000, 0.374, 0.310) and N at (0.000, 0.489, 0.089).

For the calculated volume, the calculation gives 11.5 Å³/atom. The energy comes out at -316.0 eV per cell. Its crystal system is orthorhombic.

Record 5
A geometry-optimized FeHPb structure, computed with PBE-GGA.

It has space group C2/m (No. 12), with a = 7.110 Å, b = 4.102 Å, c = 6.791 Å, α = 90.00°, β = 110.44° and γ = 90.00°. The asymmetric unit holds Fe at (0.157, 0.000, 0.470), H at (0.075, 0.000, 0.228) and Pb at (0.094, 0.500, 0.780).

For the calculated volume, the calculation gives 15.5 Å³/atom. The energy comes out at -57.7 eV per cell. Its crystal system is monoclinic.

Record 6
A geometry-optimized V3H2S structure, computed with PBE-GGA.

It has space group Cmc2_1 (No. 36), with a = 11.576 Å, b = 4.715 Å, c = 4.458 Å, α = 90.00°, β = 90.00° and γ = 90.00°. The asymmetric unit holds V at (0.000, 0.182, 0.000), V at (0.191, 0.231, 0.524), H at (0.162, 0.153, 0.941) and S at (0.000, 0.319, 0.500).

For the calculated volume, the calculation gives 10.1 Å³/atom. The energy comes out at -158.7 eV per cell. Its crystal system is orthorhombic.